Tb2SmDy3: optimized geometry, GGA-PBE.

a b c (Å): 6.1608 7.1218 9.4188
angles (deg): 112.08 90.04 90.07
With the nearest neighbours (Å) after each atom.
Sites, in units of the cell vectors:
Tb 0.0829 0.2081 0.1660  8 Dy 3.54-3.57, 3 Tb 3.55-3.56, 1 Sm 3.56
Tb 0.4170 0.5420 0.8340  3 Tb 3.55-3.56, 8 Dy 3.55-3.57, 1 Sm 3.57
Tb 0.5830 0.4580 0.1660  3 Tb 3.55-3.56, 8 Dy 3.55-3.57, 1 Sm 3.57
Tb 0.9171 0.7919 0.8340  8 Dy 3.54-3.57, 3 Tb 3.55-3.56, 1 Sm 3.56
Sm 0.2500 0.1252 0.5000  8 Dy 3.56-3.57, 2 Sm 3.56, 2 Tb 3.56-3.57
Sm 0.7500 0.8748 0.5000  8 Dy 3.56-3.57, 2 Sm 3.56, 2 Tb 3.56-3.57
Dy 0.0838 0.7074 0.1653  6 Tb 3.54-3.56, 4 Dy 3.54-3.57, 2 Sm 3.57
Dy 0.2500 0.6244 0.5000  4 Dy 3.55-3.57, 4 Sm 3.56-3.57, 4 Tb 3.56-3.57
Dy 0.4163 0.0421 0.8347  4 Dy 3.54-3.57, 6 Tb 3.55-3.56, 2 Sm 3.57
Dy 0.5837 0.9579 0.1653  4 Dy 3.54-3.57, 6 Tb 3.55-3.56, 2 Sm 3.57
Dy 0.7500 0.3756 0.5000  4 Dy 3.55-3.57, 4 Sm 3.56-3.57, 4 Tb 3.56-3.57
Dy 0.9162 0.2926 0.8347  6 Tb 3.54-3.56, 4 Dy 3.54-3.57, 2 Sm 3.57

Calculated values
* size of the total moment: 0.0 Bohr magnetons per cell
* energy of formation: 0.016 eV per atom